Entry from Alexandria: a relaxed La3YH crystal (PBEsol).

Lattice parameters (Å, degrees): 5.142 5.142 5.142 90.00 90.00 90.00
Fractional coordinates of all 5 atoms:
1 H 0.000 0.000 0.000
2 La 0.000 0.500 0.000
3 La 0.500 0.000 0.000
4 La 0.000 0.000 0.500
5 Y 0.500 0.500 0.500

Calculated values
**Electronic total energy**: -5.40 eV per atom
**Density of states at the Fermi level**: 6.1 states/eV per cell